A plane-wave DFT calculation with PBE-GGA was carried out for an optimized crystal structure of Ti2Nb5Rh.

Calculated values
ΔH_f (0 K) = -0.193 eV per atom
Total moment = 0.000 μB/atom

Cell lengths 3.2630, 6.4848, 13.0704 Å; angles 90.00, 90.00, 90.00 degrees
Element x y z (fractional)
Nb  0.5000  0.7429  0.6248
Ti  0.5000  0.7348  0.8800
Nb  0.0000  0.4854  0.7498
Rh  0.0000  0.5000  0.0000
Ti  0.5000  0.7652  0.3800
Nb  0.5000  0.2429  0.8752
Nb  0.0000  0.9854  0.7502
Nb  0.0000  0.5146  0.2502
Nb  0.0000  0.0146  0.2498
Nb  0.5000  0.2571  0.3752
Nb  0.0000  0.0000  0.0000
Rh  0.0000  0.0000  0.5000
Ti  0.5000  0.2652  0.1200
Nb  0.5000  0.7571  0.1248
Ti  0.5000  0.2348  0.6200
Nb  0.0000  0.5000  0.5000



A plane-wave DFT calculation with PBE-GGA was carried out for an optimized crystal structure of Li5Pr3I12.

Calculated values
Energy relative to the elements, uncorrected = -1.181 eV/atom
Total moment = 0.100 μB/atom

Cell lengths 15.4017, 15.4017, 15.4017 Å; angles 109.47, 109.47, 109.47 degrees
Element x y z (fractional)
Pr  0.3750  0.7500  0.6250
Li  0.5000  0.0000  0.5000
I  0.2156  0.5351  0.6246
I  0.6246  0.5894  0.9090
Pr  0.7500  0.3750  0.1250
I  0.7844  0.4649  0.3754
I  0.5894  0.6246  0.4090
I  0.6805  0.4649  0.5894
I  0.3754  0.4106  0.0910
I  0.6805  0.2156  0.5910
I  0.1805  0.0910  0.7156
I  0.3195  0.7844  0.4090
I  0.9090  0.8195  0.7844
I  0.7844  0.3195  0.9090
I  0.0910  0.9106  0.3754
I  0.0894  0.9090  0.1246
I  0.8754  0.5910  0.9106
Li  0.3750  0.1250  0.7500
Li  0.7500  0.6250  0.3750
Pr  0.2500  0.6250  0.8750
I  0.8754  0.2844  0.4649
Li  0.8750  0.2500  0.6250
I  0.1805  0.0894  0.9649
I  0.9090  0.0894  0.6246
Li  0.2500  0.3750  0.6250
Pr  0.8750  0.7500  0.1250
I  0.2156  0.6805  0.0910
I  0.8195  0.9106  0.0351
I  0.0351  0.6246  0.7156
I  0.6246  0.0351  0.2156
I  0.3754  0.9649  0.7844
Li  0.0000  0.0000  0.0000
I  0.3195  0.5351  0.4106
Li  0.0000  0.5000  0.5000
Li  0.6250  0.8750  0.2500
Li  0.0000  0.0000  0.5000
I  0.0910  0.1805  0.2156
Li  0.5000  0.5000  0.0000
Li  0.5000  0.5000  0.5000
Li  0.2500  0.8750  0.1250
Li  0.3750  0.2500  0.1250
I  0.4649  0.7844  0.8754
I  0.0351  0.4106  0.8195
I  0.8195  0.9090  0.2844
Pr  0.2500  0.1250  0.3750
Li  0.6250  0.7500  0.8750
Li  0.5000  0.0000  0.0000
I  0.9649  0.5894  0.1805
Li  0.7500  0.1250  0.8750
I  0.7156  0.1246  0.0351
Li  0.0000  0.5000  0.0000
Pr  0.6250  0.2500  0.3750
I  0.5894  0.9649  0.6805
I  0.7156  0.5910  0.1805
I  0.2844  0.8754  0.9649
I  0.5351  0.3195  0.9106
I  0.9649  0.3754  0.2844
I  0.2844  0.4090  0.8195
I  0.9106  0.8195  0.5351
Pr  0.1250  0.8750  0.7500
I  0.0894  0.1805  0.4649
I  0.5351  0.2156  0.1246
Li  0.1250  0.7500  0.3750
Pr  0.8750  0.1250  0.2500
I  0.5910  0.8754  0.4106
I  0.1246  0.7156  0.5351
Li  0.1250  0.3750  0.2500
I  0.1246  0.4090  0.0894
I  0.4106  0.3754  0.5910
I  0.4106  0.0351  0.3195
I  0.5910  0.7156  0.6805
Li  0.8750  0.6250  0.7500
I  0.9106  0.0910  0.8754
I  0.4090  0.2844  0.3195
I  0.4649  0.6805  0.0894
Pr  0.7500  0.8750  0.6250
I  0.4090  0.1246  0.5894
Pr  0.3750  0.6250  0.2500
Pr  0.6250  0.3750  0.7500
Pr  0.1250  0.2500  0.8750



A plane-wave DFT calculation with PBE-GGA was carried out for an optimized crystal structure of LiPu2Al3Au4.

Calculated values
ΔH_f (0 K) = -0.463 eV per atom
Total moment = 1.146 μB/atom

Cell lengths 4.3606, 4.3606, 10.6795 Å; angles 90.00, 90.00, 90.00 degrees
Element x y z (fractional)
Au  0.0000  0.0000  0.0000
Li  0.5000  0.5000  0.5000
Au  0.5000  0.5000  0.0000
Pu  0.5000  0.0000  0.2482
Al  0.5000  0.0000  0.8683
Au  0.5000  0.0000  0.6330
Pu  0.0000  0.5000  0.7518
Al  0.0000  0.0000  0.5000
Al  0.0000  0.5000  0.1317
Au  0.0000  0.5000  0.3670



A plane-wave DFT calculation with PBE-GGA was carried out for an optimized crystal structure of NaHfSc3.

Calculated values
ΔH_f (0 K) = 0.725 eV per atom
Total moment = 0.000 μB/atom

Cell lengths 5.3661, 5.3661, 5.3661 Å; angles 90.00, 90.00, 90.00 degrees
Element x y z (fractional)
Hf  0.0000  0.0000  0.0000
Sc  0.5000  0.0000  0.0000
Sc  0.0000  0.5000  0.0000
Sc  0.0000  0.0000  0.5000
Na  0.5000  0.5000  0.5000



A plane-wave DFT calculation with PBE-GGA was carried out for an optimized crystal structure of KPb2Cl.

Calculated values
Energy relative to the elements, uncorrected = -0.169 eV/atom
Total moment = 0.000 μB/atom

Cell lengths 3.6598, 3.6598, 11.3919 Å; angles 90.00, 90.00, 116.67 degrees
Element x y z (fractional)
Pb  0.0000  0.0000  0.0424
Pb  0.0000  0.0000  0.4576
K  0.5000  0.5000  0.7500
Cl  0.5000  0.5000  0.2500



A plane-wave DFT calculation with PBE-GGA was carried out for an optimized crystal structure of TmSc5Ag6.

Calculated values
ΔH_f (0 K) = -0.279 eV per atom
Total moment = 0.000 μB/atom

Cell lengths 4.9176, 6.8624, 8.5010 Å; angles 113.81, 106.81, 90.00 degrees
Element x y z (fractional)
Sc  0.6662  0.1662  0.3324
Sc  0.3338  0.8338  0.6676
Ag  0.1697  0.9149  0.3395
Ag  0.8302  0.5754  0.6605
Sc  0.3327  0.3327  0.6653
Sc  0.6673  0.6673  0.3347
Ag  0.8303  0.0851  0.6605
Sc  0.0000  0.5000  0.0000
Ag  0.5000  0.2606  0.0000
Ag  0.5000  0.7394  0.0000
Ag  0.1698  0.4246  0.3395
Tm  0.0000  0.0000  0.0000



A plane-wave DFT calculation with PBE-GGA was carried out for an optimized crystal structure of NaCd2In5Hg.

Calculated values
ΔH_f (0 K) = -0.027 eV per atom
Total moment = 0.000 μB/atom

Cell lengths 3.3423, 8.4208, 17.0473 Å; angles 90.00, 90.00, 101.45 degrees
Element x y z (fractional)
In  0.4072  0.8144  0.0629
In  0.5928  0.1856  0.5629
Na  0.5440  0.0881  0.9055
In  0.4014  0.8028  0.7564
In  0.2516  0.5032  0.6250
In  0.7187  0.4373  0.7919
Hg  0.2045  0.4090  0.9565
Cd  0.9324  0.8647  0.2268
In  0.5986  0.1972  0.2564
In  0.2813  0.5627  0.2919
Cd  0.8639  0.7278  0.9125
In  0.9239  0.8478  0.5864
Cd  0.1361  0.2722  0.4125
Cd  0.0676  0.1353  0.7268
In  0.7484  0.4968  0.1250
In  0.0761  0.1522  0.0864
Hg  0.7955  0.5910  0.4565
Na  0.4560  0.9119  0.4055



A plane-wave DFT calculation with PBE-GGA was carried out for an optimized crystal structure of RbBaNa.

Calculated values
ΔH_f (0 K) = 0.065 eV per atom
Total moment = 0.000 μB/atom

Cell lengths 11.4763, 4.5336, 15.5077 Å; angles 90.00, 111.69, 90.00 degrees
Element x y z (fractional)
Ba  0.3528  0.0000  0.0390
Rb  0.1207  0.0000  0.7072
Ba  0.3528  0.5000  0.5390
Na  0.7586  0.0000  0.0548
Rb  0.1207  0.5000  0.2072
Rb  0.9333  0.5000  0.8926
Na  0.6489  0.5000  0.1856
Na  0.7586  0.5000  0.5548
Rb  0.9333  0.0000  0.3926
Ba  0.5083  0.0000  0.3507
Na  0.6489  0.0000  0.6856
Ba  0.5083  0.5000  0.8507



A plane-wave DFT calculation with PBE-GGA was carried out for an optimized crystal structure of BaReN3.

Calculated values
Energy relative to the elements, uncorrected = 0.229 eV/atom
Total moment = 0.029 μB/atom

Cell lengths 3.4713, 3.4713, 12.8227 Å; angles 82.22, 82.22, 90.00 degrees
Element x y z (fractional)
N  0.5835  0.8977  0.2046
N  0.3293  0.3293  0.3413
Re  0.6294  0.1294  0.7412
N  0.1023  0.7881  0.7954
Re  0.8706  0.3706  0.2588
N  0.1023  0.4165  0.7954
Ba  0.2500  0.7500  0.5000
Ba  0.0000  0.0000  0.0000
N  0.2119  0.8977  0.2046
N  0.6707  0.6707  0.6587



A plane-wave DFT calculation with PBE-GGA was carried out for an optimized crystal structure of ZnSiI2N.

Calculated values
Energy relative to the elements, uncorrected = 0.303 eV/atom
Total moment = 0.000 μB/atom

Cell lengths 5.9969, 5.9969, 3.3068 Å; angles 90.00, 90.00, 90.00 degrees
Element x y z (fractional)
I  0.0000  0.5000  0.0000
I  0.5000  0.0000  0.0000
Zn  0.5000  0.5000  0.5000
N  0.0000  0.0000  0.5000
Si  0.0000  0.0000  0.0000



A plane-wave DFT calculation with PBE-GGA was carried out for an optimized crystal structure of MgTe2Cl.

Calculated values
Energy relative to the elements, uncorrected = -0.295 eV/atom
Total moment = 0.000 μB/atom

Cell lengths 4.8365, 4.8365, 11.2752 Å; angles 77.62, 77.62, 90.00 degrees
Element x y z (fractional)
Te  0.3750  0.4688  0.7500
Te  0.8750  0.7812  0.7500
Cl  0.0000  0.0000  0.0000
Te  0.5312  0.1250  0.2500
Cl  0.7500  0.2500  0.5000
Mg  0.2500  0.7500  0.5000
Mg  0.5000  0.5000  0.0000
Te  0.2188  0.6250  0.2500



A plane-wave DFT calculation with PBE-GGA was carried out for an optimized crystal structure of YZrC2.

Calculated values
ΔH_f (0 K) = 0.092 eV per atom
Total moment = 0.000 μB/atom

Cell lengths 5.3085, 5.3085, 6.4285 Å; angles 65.61, 65.61, 90.00 degrees
Element x y z (fractional)
C  0.6557  0.1250  0.2500
Y  0.2500  0.7500  0.5000
Zr  0.7500  0.2500  0.5000
Zr  0.0000  0.0000  0.0000
Y  0.5000  0.5000  0.0000
C  0.0943  0.6250  0.2500
C  0.8750  0.9057  0.7500
C  0.3750  0.3443  0.7500



total moment of number 1 (Ti2Nb5Rh)?
0.000 μB/atom



Which value of total moment does entry 4 give?
0.000 μB/atom



What is the formula in the twelfth record?
YZrC2